Entry 1:
{
  "formula": "Ti2Mo3W2",
  "functional": "GGA-PBE",
  "state": "optimized geometry",
  "final_energy_ev_per_atom": -10.71,
  "delta_e_f_ev_per_atom": -0.108,
  "vol_a3_per_fu": 111.49,
  "e_above_lowest_polymorph_mev_per_atom": 0,
  "cell": [[-1.274, 2.002, 2.087], [0.340, -2.247, 4.738], [6.481, 2.345, 1.740]],
  "species": ["Mo", "Mo", "Mo", "Ti", "Ti", "W", "W"],
  "fractional_positions": [[0.144, 0.714, 0.434], [0.856, 0.286, 0.566], [0.000, 0.000, 0.000], [0.293, 0.415, 0.855], [0.707, 0.585, 0.145], [0.570, 0.860, 0.715], [0.430, 0.140, 0.285]]
}

***

Entry 2:
{
  "formula": "LaIr5",
  "functional": "GGA-PBE",
  "state": "optimized geometry",
  "final_energy_ev_per_atom": -8.12,
  "delta_e_f_ev_per_atom": 0.085,
  "vol_a3_per_fu": 105.10,
  "cell": [[1.423, -8.436, 0.000], [1.423, 8.436, 0.000], [0.000, 0.000, 4.377]],
  "species": ["La", "Ir", "Ir", "Ir", "Ir", "Ir"],
  "fractional_positions": [[0.895, 0.105, 0.500], [0.565, 0.435, 0.500], [0.667, 0.333, 0.000], [0.300, 0.700, 0.000], [0.029, 0.971, 0.000], [0.211, 0.789, 0.500]]
}

***

Entry 3:
{
  "formula": "Co2SI",
  "functional": "GGA-PBE",
  "state": "optimized geometry",
  "final_energy_ev_per_atom": -4.25,
  "formation_energy_uncorrected_mev_per_atom": 718,
  "vol_a3_per_fu": 59.71,
  "e_above_lowest_polymorph_mev_per_atom": 667,
  "cell": [[-0.804, -4.156, -1.153], [-3.613, -2.020, 1.454], [-3.272, -0.913, -2.777]],
  "species": ["Co", "Co", "I", "S"],
  "fractional_positions": [[0.250, 0.250, 0.250], [0.750, 0.750, 0.750], [0.500, 0.500, 0.500], [0.000, 0.000, 0.000]]
}

***

Entry 4:
{
  "formula": "TlCdSe",
  "functional": "GGA-PBE",
  "state": "optimized geometry",
  "final_energy_ev_per_atom": -2.53,
  "formation_energy_uncorrected_mev_per_atom": -279,
  "vol_a3_per_fu": 84.84,
  "e_above_lowest_polymorph_mev_per_atom": 0,
  "cell": [[-1.283, -3.892, 1.050], [3.488, 1.624, 1.759], [-3.021, 2.091, 4.059]],
  "species": ["Se", "Cd", "Tl"],
  "fractional_positions": [[0.333, 0.667, 0.283], [0.000, 0.000, 0.050], [0.667, 0.333, 0.666]]
}